Entry 1:
! TiCr2H SCAN single point on PBEsol structure; values from VASP
! Crystal system: cubic
! Electronic total energy, eV/cell: -111.12
&SYSTEM
  ibrav = 0, nat = 8, ntyp = 3
/
ATOMIC_SPECIES
Ti 47.87 Ti.upf
Cr 52.00 Cr.upf
H 1.01 H.upf
ATOMIC_POSITIONS crystal
Ti 0.125 0.125 0.125
Ti 0.875 0.875 0.875
Cr 0.000 0.500 0.500
Cr 0.500 0.000 0.500
Cr 0.500 0.500 0.000
Cr 0.500 0.500 0.500
H 0.375 0.375 0.375
H 0.625 0.625 0.625
CELL_PARAMETERS angstrom
0.000 3.537 3.537
3.537 0.000 3.537
3.537 3.537 0.000

Entry 2:
! Hf3Cu4Si4 SCAN single point on PBEsol structure; values from VASP
! Crystal system: orthorhombic
! E_form (uncorrected), eV per atom: -0.5214
&SYSTEM
  ibrav = 0, nat = 11, ntyp = 3
/
ATOMIC_SPECIES
Hf 178.49 Hf.upf
Cu 63.55 Cu.upf
Si 28.09 Si.upf
ATOMIC_POSITIONS crystal
Hf 0.000 0.000 0.000
Hf 0.355 0.855 0.500
Hf 0.645 0.145 0.500
Cu 0.095 0.595 0.500
Cu 0.252 0.252 0.000
Cu 0.748 0.748 0.000
Cu 0.905 0.405 0.500
Si 0.189 0.689 0.500
Si 0.451 0.451 0.000
Si 0.549 0.549 0.000
Si 0.811 0.311 0.500
CELL_PARAMETERS angstrom
-1.800 1.904 11.705
1.800 -1.904 11.705
1.800 1.904 -11.705

Entry 3:
! La3In SCAN single point on PBEsol structure; values from VASP
! Crystal system: hexagonal
! Energy above the lowest structure with this stoichiometry, meV/atom: 13
&SYSTEM
  ibrav = 0, nat = 16, ntyp = 2
/
ATOMIC_SPECIES
La 138.91 La.upf
In 114.82 In.upf
ATOMIC_POSITIONS crystal
La 0.000 0.500 0.000
La 0.000 0.500 0.500
La 0.159 0.317 0.250
La 0.159 0.841 0.250
La 0.317 0.159 0.750
La 0.500 0.000 0.000
La 0.500 0.000 0.500
La 0.500 0.500 0.000
La 0.500 0.500 0.500
La 0.683 0.841 0.250
La 0.841 0.159 0.750
La 0.841 0.683 0.750
In 0.000 0.000 0.000
In 0.000 0.000 0.500
In 0.333 0.667 0.750
In 0.667 0.333 0.250
CELL_PARAMETERS angstrom
7.046 0.000 0.000
-3.523 6.102 0.000
0.000 0.000 11.366